No. 1
TaSbN2O: relaxed, PBE.

Output
DOS at the Fermi energy	0.068	states/eV per atom
final energy	-8.02	eV per atom

a b c (Å): 4.157 4.157 3.897
angles (deg): 90.00 90.00 90.00
Element x y z (fractional)
Sb 0.500 0.500 0.500
N 0.000 0.500 0.000
N 0.500 0.000 0.000
O 0.000 0.000 0.500
Ta 0.000 0.000 0.000

No. 2
HfAlP3: relaxed, PBE.

Output
formation energy	2.1	eV per formula unit
polymorph energy (0 for the lowest one)	0	meV/atom
DOS at the Fermi energy	1.114	states/eV per atom

a b c (Å): 4.972 4.972 4.972
angles (deg): 90.00 90.00 90.00
Element x y z (fractional)
P 0.000 0.500 0.000
P 0.000 0.000 0.500
P 0.500 0.000 0.000
Hf 0.000 0.000 0.000
Al 0.500 0.500 0.500

No. 3
Rb2CeBiTe4: relaxed, PBE.

Output
DOS at the Fermi energy	0.988	states/eV per atom
final energy	-4.01	eV per atom

a b c (Å): 4.677 8.102 8.954
angles (deg): 107.55 90.00 90.00
Site moments in Bohr magnetons follow the coordinates.
Element x y z (fractional)
Rb 0.500 0.000 0.500  0.00
Rb 0.000 0.500 0.500  0.00
Ce 0.500 0.500 0.000  0.96
Bi 0.000 0.000 0.000  0.02
Te 0.500 0.232 0.202  -0.01
Te 0.500 0.768 0.798  -0.01
Te 0.000 0.264 0.796  -0.01
Te 0.000 0.736 0.204  -0.01

No. 4
La2SmPb: relaxed, PBE.

Output
formation energy	0.2	eV per formula unit
polymorph energy (0 for the lowest one)	420	meV/atom
DOS at the Fermi energy	1.108	states/eV per atom

a b c (Å): 3.658 3.658 12.722
angles (deg): 81.73 81.73 60.00
Element x y z (fractional)
Pb 0.000 0.000 0.000
Sm 0.500 0.500 0.500
La 0.088 0.088 0.735
La 0.912 0.912 0.265

What is the DOS at the Fermi energy in the fourth record? 1.108 states/eV per atom

DOS at the Fermi energy of number 3 (Rb2CeBiTe4)? 0.988 states/eV per atom

Please write out number 1 again, unchanged.
TaSbN2O: relaxed, PBE.

Output
DOS at the Fermi energy	0.068	states/eV per atom
final energy	-8.02	eV per atom

a b c (Å): 4.157 4.157 3.897
angles (deg): 90.00 90.00 90.00
Element x y z (fractional)
Sb 0.500 0.500 0.500
N 0.000 0.500 0.000
N 0.500 0.000 0.000
O 0.000 0.000 0.500
Ta 0.000 0.000 0.000

Please write out number 3 again, unchanged.
Rb2CeBiTe4: relaxed, PBE.

Output
DOS at the Fermi energy	0.988	states/eV per atom
final energy	-4.01	eV per atom

a b c (Å): 4.677 8.102 8.954
angles (deg): 107.55 90.00 90.00
Site moments in Bohr magnetons follow the coordinates.
Element x y z (fractional)
Rb 0.500 0.000 0.500  0.00
Rb 0.000 0.500 0.500  0.00
Ce 0.500 0.500 0.000  0.96
Bi 0.000 0.000 0.000  0.02
Te 0.500 0.232 0.202  -0.01
Te 0.500 0.768 0.798  -0.01
Te 0.000 0.264 0.796  -0.01
Te 0.000 0.736 0.204  -0.01